An optimized crystal structure of BaZrC3. Source: Alexandria, functional PBE-GGA.

a b c (Å): 4.450 4.450 4.450
angles (deg): 90.00 90.00 90.00
Space group Pm-3m (No. 221)
One atom of each set of equivalent atoms:
Ba 0.000 0.000 0.000
Zr 0.500 0.500 0.500
C 0.000 0.000 0.500

Summary:
- E_tot (eV/atom) = -4.567
- energy of formation from the pure elements (eV per formula unit) = 15.308